Below is an optimized crystal structure of Ce6FeNiPb2, with properties calculated at the GGA-PBE level.

Values from the calculation:
**ΔH_f (0 K)**: -0.2401 eV/atom
**Fermi-level density of states**: 29.99 states/eV per cell

Cell: 7.2663 7.2663 7.3712 Å, 60.45 60.45 89.96°
Atoms (fractional coordinates):
Pb 0.2500 0.7500 0.5000
Ce 0.2418 0.2418 0.9999
Ni 0.5000 0.5000 0.0000
Ce 0.7582 0.7582 0.0001
Ce 0.7584 0.2415 0.0000
Fe 0.0000 0.0000 0.0000
Ce 0.7458 0.7458 0.5086
Ce 0.2416 0.7585 0.0000
Ce 0.2542 0.2542 0.4914
Pb 0.7500 0.2500 0.5000